Here is a relaxed Nd2Er2CBr5 crystal from the Open Quantum Materials Database. Energies are from GGA-PBE.

```
data_Nd2Er2CBr5
_cell_length_a 17.9678
_cell_length_b 3.8881
_cell_length_c 8.4021
_cell_angle_alpha 90.00
_cell_angle_beta 102.79
_cell_angle_gamma 90.00
_symmetry_space_group_name_H-M 'C 1 2/m 1'
_symmetry_Int_Tables_number 12
loop_
_symmetry_equiv_pos_as_xyz
'x,y,z'
'-x,-y,-z'
'-x,y,-z'
'x,-y,z'
'x+1/2,y+1/2,z'
'-x+1/2,-y+1/2,-z'
'-x+1/2,y+1/2,-z'
'x+1/2,-y+1/2,z'
loop_
_atom_site_label
_atom_site_type_symbol
_atom_site_fract_x
_atom_site_fract_y
_atom_site_fract_z
Nd1 Nd 0.0015 0.0000 0.2944
Er1 Er 0.1362 0.5000 0.5703
C1 C 0.0000 0.5000 0.5000
Br1 Br 0.0000 0.5000 0.0000
Br2 Br 0.1681 0.0000 0.8236
Br3 Br 0.1742 0.0000 0.3470
```

* uncorrected energy: -5.05 eV/atom
* total magnetization: 0.043 μB/f.u.